A crystal of Fe2CuNi relaxed with PBEsol, computed with meta-GGA SCAN.

Computed properties:
- ΔH_f (0 K): -0.046 eV per atom
- Polymorph energy (0 for the lowest one): 2 meV/atom
- V: 11.0 Å³/atom
- Raw total energy: -67.8 eV per cell
- D(E_F): 2.00 states/eV/f.u.

abc: 2.461 3.618 4.926
angles: 90.00 90.00 90.00
Fractional coordinates of all 4 atoms:
Fe (0.000, 0.000, 0.754)
Cu (0.500, 0.500, 0.500)
Ni (0.500, 0.500, 0.000)
Fe (0.000, 0.000, 0.246)